# Hf2AgBr8

Hf2AgBr8 after structural relaxation (PBE-GGA, Alexandria via LeMat-Bulk).

**Symmetry**: C2/m (12)
**Total energy**: -47.46 eV per cell

The structure in POSCAR format:
```
Hf2AgBr8
1.0
7.0689 -4.9232 0.0000
7.0689 4.9232 0.0000
-0.7644 0.0000 7.1975
Hf Ag Br
2 1 8
Cartesian
2.7176 0.0000 1.0211 Hf
10.6559 0.0000 6.1764 Hf
-0.3822 0.0000 3.5987 Ag
4.9255 3.0554 5.2204 Br
1.9018 0.0000 5.7413 Br
8.4481 3.0554 1.9771 Br
5.0277 0.0000 1.8784 Br
8.3458 0.0000 5.3191 Br
4.9255 -3.0554 5.2204 Br
11.4717 0.0000 1.4562 Br
8.4481 -3.0554 1.9771 Br
```